Record 1
Here is a geometry-optimized HoEr6Tm3 structure from Alexandria. Energies are from PBE.

Lattice parameters (Å, degrees): 10.7984 10.7984 6.0931 90.00 90.00 119.80
Last column: nearest neighbours and their distance in Å.
Element x y z (fractional)
Ho: 0.2086 0.7914 0.5000  3 Tm 3.21-3.43, 7 Er 3.25-3.42
Ho: 0.7914 0.2086 0.0000  3 Tm 3.21-3.43, 7 Er 3.25-3.42
Er: 0.0394 0.4594 0.2951  5 Er 3.22-3.39, 2 Tm 3.22-3.55, 2 Ho 3.25-3.35
Er: 0.0485 0.9515 0.7335  1 Ho 3.31, 4 Tm 3.48-3.57, 4 Er 3.55-3.70
Er: 0.2849 0.7151 0.0107  4 Er 3.22-3.31, 1 Tm 3.27, 2 Ho 3.31-3.42
Er: 0.2891 0.3820 0.1233  4 Tm 3.34-3.52, 6 Er 3.36-3.70
Er: 0.3820 0.2891 0.6233  4 Tm 3.34-3.52, 6 Er 3.36-3.70
Er: 0.4594 0.0394 0.7951  5 Er 3.22-3.39, 2 Tm 3.22-3.55, 2 Ho 3.25-3.35
Er: 0.5406 0.9606 0.2951  5 Er 3.22-3.39, 2 Tm 3.22-3.55, 2 Ho 3.25-3.35
Er: 0.6180 0.7109 0.1233  4 Tm 3.34-3.52, 6 Er 3.36-3.70
Er: 0.7109 0.6180 0.6233  4 Tm 3.34-3.52, 6 Er 3.36-3.70
Er: 0.7151 0.2849 0.5107  4 Er 3.22-3.31, 1 Tm 3.27, 2 Ho 3.31-3.42
Er: 0.9515 0.0485 0.2335  1 Ho 3.31, 4 Tm 3.48-3.57, 4 Er 3.55-3.70
Er: 0.9606 0.5406 0.7951  5 Er 3.22-3.39, 2 Tm 3.22-3.55, 2 Ho 3.25-3.35
Tm: 0.0630 0.2797 0.6992  1 Ho 3.21, 6 Er 3.22-3.57
Tm: 0.2797 0.0630 0.1992  1 Ho 3.21, 6 Er 3.22-3.57
Tm: 0.3903 0.6097 0.5819  5 Er 3.27-3.52, 1 Ho 3.43, 2 Tm 3.63
Tm: 0.6097 0.3903 0.0819  5 Er 3.27-3.52, 1 Ho 3.43, 2 Tm 3.63
Tm: 0.7203 0.9370 0.6992  1 Ho 3.21, 6 Er 3.22-3.57
Tm: 0.9370 0.7203 0.1992  1 Ho 3.21, 6 Er 3.22-3.57

---

Record 2
Here is a geometry-optimized Ho12Er3Tm structure from Alexandria. Energies are from PBE.

Lattice parameters (Å, degrees): 4.9647 4.9647 19.8490 90.00 90.00 90.00
Last column: nearest neighbours and their distance in Å.
Element x y z (fractional)
Ho: 0.0000 0.0000 0.0000  4 Er 3.51, 8 Ho 3.51
Ho: 0.0000 0.0000 0.2502  4 Er 3.51, 8 Ho 3.51
Ho: 0.0000 0.0000 0.5000  8 Ho 3.51, 4 Tm 3.51
Ho: 0.0000 0.0000 0.7498  4 Er 3.51, 8 Ho 3.51
Ho: 0.0000 0.5000 0.1251  8 Ho 3.51, 4 Er 3.51
Ho: 0.0000 0.5000 0.3753  8 Ho 3.51, 2 Tm 3.51, 2 Er 3.51
Ho: 0.0000 0.5000 0.6247  8 Ho 3.51, 2 Tm 3.51, 2 Er 3.51
Ho: 0.0000 0.5000 0.8749  8 Ho 3.51, 4 Er 3.51
Ho: 0.5000 0.0000 0.1251  8 Ho 3.51, 4 Er 3.51
Ho: 0.5000 0.0000 0.3753  8 Ho 3.51, 2 Tm 3.51, 2 Er 3.51
Ho: 0.5000 0.0000 0.6247  8 Ho 3.51, 2 Tm 3.51, 2 Er 3.51
Ho: 0.5000 0.0000 0.8749  8 Ho 3.51, 4 Er 3.51
Er: 0.5000 0.5000 0.0000  12 Ho 3.51
Er: 0.5000 0.5000 0.2502  12 Ho 3.51
Er: 0.5000 0.5000 0.7498  12 Ho 3.51
Tm: 0.5000 0.5000 0.5000  12 Ho 3.51

---

Record 3
Here is a geometry-optimized Ho3Er3Tm8 structure from Alexandria. Energies are from PBE.

Lattice parameters (Å, degrees): 9.4627 9.4627 9.4627 146.11 111.58 78.59
Last column: nearest neighbours and their distance in Å.
Element x y z (fractional)
Ho: 0.0000 0.0000 0.0000  4 Er 3.51, 4 Ho 3.83
Ho: 0.1813 0.6813 0.5000  2 Er 3.43, 8 Tm 3.53-3.68, 2 Ho 3.83
Ho: 0.8187 0.3187 0.5000  2 Er 3.43, 8 Tm 3.53-3.68, 2 Ho 3.83
Er: 0.2042 0.5000 0.7042  1 Er 3.15, 4 Ho 3.43-3.51, 4 Tm 3.48
Er: 0.5000 0.5000 0.0000  2 Er 3.15
Er: 0.7958 0.5000 0.2958  1 Er 3.15, 4 Ho 3.43-3.51, 4 Tm 3.48
Tm: 0.1190 0.2776 0.8414  6 Tm 3.21-3.47, 2 Ho 3.53, 1 Er 3.57
Tm: 0.2390 0.8960 0.3429  5 Tm 3.05-3.34
Tm: 0.4363 0.2776 0.1586  6 Tm 3.21-3.47, 2 Ho 3.53, 1 Er 3.57
Tm: 0.4469 0.1040 0.3429  5 Tm 3.05-3.34
Tm: 0.5531 0.8960 0.6571  5 Tm 3.05-3.34
Tm: 0.5637 0.7224 0.8414  6 Tm 3.21-3.47, 2 Ho 3.53, 1 Er 3.57
Tm: 0.7610 0.1040 0.6571  5 Tm 3.05-3.34
Tm: 0.8810 0.7224 0.1586  6 Tm 3.21-3.47, 2 Ho 3.53, 1 Er 3.57

---

Record 4
Here is a geometry-optimized Ho3Er12Tm structure from Alexandria. Energies are from PBE.

Lattice parameters (Å, degrees): 4.9505 4.9505 19.7898 90.00 90.00 90.00
Last column: nearest neighbours and their distance in Å.
Element x y z (fractional)
Ho: 0.0000 0.0000 0.0000  12 Er 3.50
Ho: 0.0000 0.0000 0.2503  12 Er 3.50
Ho: 0.0000 0.0000 0.7497  12 Er 3.50
Er: 0.0000 0.5000 0.1252  8 Er 3.50, 4 Ho 3.50
Er: 0.0000 0.5000 0.3755  8 Er 3.49-3.50, 2 Tm 3.49, 2 Ho 3.50
Er: 0.0000 0.5000 0.6245  8 Er 3.49-3.50, 2 Tm 3.49, 2 Ho 3.50
Er: 0.0000 0.5000 0.8748  8 Er 3.50, 4 Ho 3.50
Er: 0.5000 0.0000 0.1252  8 Er 3.50, 4 Ho 3.50
Er: 0.5000 0.0000 0.3755  8 Er 3.49-3.50, 2 Tm 3.49, 2 Ho 3.50
Er: 0.5000 0.0000 0.6245  8 Er 3.49-3.50, 2 Tm 3.49, 2 Ho 3.50
Er: 0.5000 0.0000 0.8748  8 Er 3.50, 4 Ho 3.50
Er: 0.5000 0.5000 0.0000  4 Ho 3.50, 8 Er 3.50
Er: 0.5000 0.5000 0.2504  8 Er 3.50, 4 Ho 3.50
Er: 0.5000 0.5000 0.5000  8 Er 3.49, 4 Tm 3.50
Er: 0.5000 0.5000 0.7496  8 Er 3.50, 4 Ho 3.50
Tm: 0.0000 0.0000 0.5000  12 Er 3.49-3.50

---

no.,ΔH_f (0 K) (eV per atom),ρ (kg/m³)
1,0.150,9024
2,0.021,8994
3,0.121,9070
4,0.022,9144